1.
Below is a relaxed Cu2AsRu crystal, with properties calculated at the PBE level.

```
Cu2AsRu
1.0
2.954 0.000 0.000
0.000 3.757 0.000
0.000 0.000 4.985
Cu As Ru
2 1 1
direct
0.000 0.000 0.246 Cu
0.000 0.000 0.754 Cu
0.500 0.500 0.500 As
0.500 0.500 0.000 Ru
```

Properties
Total DFT energy (no corrections) ... -5.31 eV per atom
Crystal system ... orthorhombic


2.
Below is a relaxed BaY2 crystal, with properties calculated at the PBE level.

```
BaY2
1.0
3.781 0.000 0.000
-1.891 3.275 0.000
0.000 0.000 9.352
Ba Y
1 2
direct
0.000 0.000 0.000 Ba
0.333 0.667 0.354 Y
0.667 0.333 0.646 Y
```

Properties
Crystal system ... trigonal
Excess energy over the best structure of this formula in the dataset ... 22.7 meV/atom


3.
Below is a relaxed Tl4InI5 crystal, with properties calculated at the PBE level.

```
Tl4InI5
1.0
-2.498 3.541 12.539
2.498 -3.541 12.539
2.498 3.541 -12.539
Tl In I
4 1 5
direct
0.100 0.100 0.000 Tl
0.301 0.301 0.000 Tl
0.699 0.699 0.000 Tl
0.900 0.900 0.000 Tl
0.500 0.500 0.000 In
0.000 0.500 0.500 I
0.201 0.701 0.500 I
0.401 0.901 0.500 I
0.599 0.099 0.500 I
0.799 0.299 0.500 I
```

Properties
Formation energy (no corrections) ... -0.623 eV per atom
Crystal system ... orthorhombic